First-principles (PBEsol) data for crystalline Ba2CaMg at its relaxed geometry, as listed in Alexandria.

The structure in POSCAR format:
```
Ba2CaMg
1.0
4.361 0.000 0.000
0.000 4.357 0.018
0.000 -0.039 9.417
Ba Ca Mg
2 1 1
Direct
0.000 0.000 0.216 Ba
0.000 0.000 0.784 Ba
0.500 0.500 0.500 Ca
0.500 0.500 0.000 Mg
```

Calculated values
total moment	0.000	μB per atom
ΔH_f (0 K)	-0.017	eV/atom
electronic total energy	-2.054	eV per atom


First-principles (PBEsol) data for crystalline K2Tl2Cd at its relaxed geometry, as listed in Alexandria.

The structure in POSCAR format:
```
K2Tl2Cd
1.0
-1.009 -0.722 5.738
-7.289 -1.826 -1.512
1.971 -7.385 -0.583
K Tl Cd
4 4 2
Direct
0.500 0.321 0.179 K
0.500 0.679 0.821 K
0.500 0.821 0.321 K
0.500 0.179 0.679 K
0.000 0.136 0.364 Tl
0.000 0.636 0.136 Tl
0.000 0.864 0.636 Tl
0.000 0.364 0.864 Tl
0.000 0.500 0.500 Cd
0.000 0.000 0.000 Cd
```

Calculated values
total moment	0.000	μB per atom
ΔH_f (0 K)	-0.015	eV/atom
electronic total energy	-1.760	eV per atom


First-principles (PBEsol) data for crystalline NaCd2Pt at its relaxed geometry, as listed in Alexandria.

The structure in POSCAR format:
```
NaCd2Pt
1.0
-3.531 2.853 1.179
-4.185 -1.791 1.126
-1.502 0.162 4.440
Cd Na Pt
2 1 1
Direct
0.750 0.750 0.750 Cd
0.250 0.250 0.250 Cd
0.500 0.500 0.500 Na
0.000 0.000 0.000 Pt
```

Calculated values
total moment	0.000	μB per atom
ΔH_f (0 K)	-0.225	eV/atom
electronic total energy	-2.915	eV per atom


Question: Which of these has the highest electronic total energy?
Answer: K2Tl2Cd